A plane-wave DFT calculation with GGA-PBE was carried out for crystalline BaScRuPt2 at its relaxed geometry.

Lattice parameters (Å, degrees): 5.163 4.632 5.163 90.00 90.00 90.00
Positions (direct):
Ba 0.500 0.500 0.500
Sc 0.000 0.500 0.000
Pt 0.000 0.000 0.500
Pt 0.500 0.000 0.000
Ru 0.000 0.000 0.000

## Properties
N(E_F)   4.6 states/eV/f.u.
Total DFT energy (no corrections)   -30.2 eV per cell
Spin magnetization   0.00 μB per formula unit
DFT formation energy   -0.11 eV per atom



A plane-wave DFT calculation with GGA-PBE was carried out for crystalline TaAsSe at its relaxed geometry.

Lattice parameters (Å, degrees): 5.292 5.270 5.270 142.44 142.52 54.04
Positions (direct):
Se 0.315 0.315 0.001
Ta 0.666 0.666 0.000
As 0.019 0.019 0.000

## Properties
N(E_F)   1.1 states/eV/f.u.
Total DFT energy (no corrections)   -20.6 eV per cell
Spin magnetization   0.00 μB per formula unit
Formation energy without anion corrections   -0.21 eV/atom



Q: Look up the total DFT energy (no corrections) of the first one.
A: -30.2 eV per cell



Q: Which value of total DFT energy (no corrections) does entry 1 give?
A: -30.2 eV per cell



Q: The highest total DFT energy (no corrections) belongs to which entry?
A: TaAsSe